(1)
# BaTaFe2 | Alexandria via LeMat-Bulk | PBE | optimized geometry
# SG ... R-3m (166)
# Calculated formation energy ... 825 meV per atom
# Energy above the lowest structure with this stoichiometry ... 403 meV per atom
data_BaTaFe2
_space_group_name_H-M_alt 'P 1'
_space_group_IT_number 1
_space_group_name_Hall 'P 1'
_cell_length_a 8.966
_cell_length_b 8.966
_cell_length_c 8.966
_cell_angle_alpha 20.91
_cell_angle_beta 20.91
_cell_angle_gamma 20.91
loop_
_atom_site_label
_atom_site_type_symbol
_atom_site_fract_x
_atom_site_fract_y
_atom_site_fract_z
Ba1 Ba 0.750 0.750 0.750
Fe1 Fe 0.982 0.982 0.982
Fe2 Fe 0.518 0.518 0.518
Ta1 Ta 0.250 0.250 0.250

---

(2)
# BaTaFe2 | Alexandria via LeMat-Bulk | PBE | optimized geometry
# SG ... C2/m (12)
# Calculated formation energy ... 581 meV per atom
# Energy above the lowest structure with this stoichiometry ... 159 meV per atom
data_BaTaFe2
_space_group_name_H-M_alt 'P 1'
_space_group_IT_number 1
_space_group_name_Hall 'P 1'
_cell_length_a 4.634
_cell_length_b 4.634
_cell_length_c 6.630
_cell_angle_alpha 72.86
_cell_angle_beta 72.86
_cell_angle_gamma 43.55
loop_
_atom_site_label
_atom_site_type_symbol
_atom_site_fract_x
_atom_site_fract_y
_atom_site_fract_z
Ba1 Ba 0.750 0.750 0.750
Fe1 Fe 0.977 0.977 0.144
Fe2 Fe 0.523 0.523 0.356
Ta1 Ta 0.250 0.250 0.250

---

(3)
# Ba2TaFe | Alexandria via LeMat-Bulk | PBE | optimized geometry
# SG ... F-43m (216)
# Calculated formation energy ... 1292 meV per atom
# Energy above the lowest structure with this stoichiometry ... 733 meV per atom
data_Ba2TaFe
_space_group_name_H-M_alt 'P 1'
_space_group_IT_number 1
_space_group_name_Hall 'P 1'
_cell_length_a 5.439
_cell_length_b 5.439
_cell_length_c 5.439
_cell_angle_alpha 60.00
_cell_angle_beta 60.00
_cell_angle_gamma 60.00
loop_
_atom_site_label
_atom_site_type_symbol
_atom_site_fract_x
_atom_site_fract_y
_atom_site_fract_z
Ba1 Ba 0.000 0.000 0.000
Ba2 Ba 0.250 0.250 0.250
Fe1 Fe 0.500 0.500 0.500
Ta1 Ta 0.750 0.750 0.750

---

Ordered uncorrected energy results: -27.40, -28.38, -18.99; unit eV/cell.